Here is an optimized crystal structure of Sr2TaNiS5 from Alexandria. Energies are from PBE.

Cell and atoms, written as POSCAR:
```
Sr2TaNiS5
1.0
1.849 -8.699 0.000
1.849 8.699 0.000
0.000 0.000 12.039
Sr Ta Ni S
4 2 2 10
Direct
0.118 0.882 0.500 Sr
0.121 0.879 0.136 Sr
0.879 0.121 0.636 Sr
0.882 0.118 0.000 Sr
0.191 0.809 0.828 Ta
0.809 0.191 0.328 Ta
0.421 0.579 0.254 Ni
0.579 0.421 0.754 Ni
0.054 0.946 0.853 S
0.294 0.706 0.472 S
0.301 0.699 0.185 S
0.338 0.662 0.821 S
0.493 0.507 0.100 S
0.507 0.493 0.600 S
0.662 0.338 0.321 S
0.699 0.301 0.685 S
0.706 0.294 0.972 S
0.946 0.054 0.353 S
```

Electronic total energy   -107.1 eV per cell
D(E_F)   8.7 states/eV per cell
Raw formation energy   -1.33 eV/atom